Record 1
VASP calculation (GGA-PBE) on crystalline Th2Co5C2 at its relaxed geometry.

Unit cell a=3.6529 b=5.6990 c=7.2692 alpha=111.28 beta=90.00 gamma=108.69
Closest atoms and distances in Å follow each position.
Sites, in units of the cell vectors:
Th1 0.4063 0.8126 0.6692  9 Co 2.81-3.07, 2 C 3.02
Th2 0.5937 0.1874 0.3308  9 Co 2.81-3.07, 2 C 3.02
Co1 0.3257 0.6515 0.0011  3 C 1.89-1.95
Co2 0.6743 0.3485 0.9989  3 C 1.89-1.95
Co3 0.1137 0.2274 0.6339  1 C 1.86
Co4 0.8863 0.7726 0.3661  1 C 1.86
Co5 0.0000 0.0000 0.0000  2 C 1.87
C1 0.1365 0.2731 0.9007  5 Co 1.86-1.95
C2 0.8635 0.7269 0.0993  5 Co 1.86-1.95

Calculated values
energy of formation	-48	meV/atom
total DFT energy (no corrections)	-7.6947	eV per atom
total moment	0.00	μB/atom
ρ	9.8	Mg/m³
DOS at the Fermi energy	0.652	states/eV per atom

=====

Record 2
VASP calculation (GGA-PBE) on crystalline Th6TlCo2C3 at its relaxed geometry.

Unit cell a=3.8154 b=7.9355 c=9.8866 alpha=116.54 beta=101.13 gamma=90.00
Closest atoms and distances in Å follow each position.
Sites, in units of the cell vectors:
Th1 0.3133 0.9311 0.6266  1 C 2.40, 2 Co 2.68
Th2 0.6561 0.5221 0.3121  2 C 2.60, 2 Co 2.89
Th3 0.6867 0.0689 0.3734  1 C 2.40, 2 Co 2.68
Th4 0.9550 0.2666 0.9099  3 C 2.41-2.52
Th5 0.0450 0.7334 0.0901  3 C 2.41-2.52
Th6 0.3439 0.4779 0.6879  2 C 2.60, 2 Co 2.89
Tl1 0.5000 0.0000 0.0000  4 Co 3.14, 6 Th 3.25-3.41
Co1 0.8597 0.7673 0.7194  4 Th 2.68-2.89
Co2 0.1403 0.2327 0.2806  4 Th 2.68-2.89
C1 0.5000 0.5000 0.0000  4 Th 2.52
C2 0.8256 0.2377 0.6512  4 Th 2.40-2.60
C3 0.1744 0.7623 0.3488  4 Th 2.40-2.60

Calculated values
energy of formation	-115	meV/atom
total DFT energy (no corrections)	-7.5129	eV per atom
total moment	0.00	μB/atom
ρ	11.1	Mg/m³
DOS at the Fermi energy	0.670	states/eV per atom

=====

Record 3
VASP calculation (GGA-PBE) on crystalline ThU2CoC4 at its relaxed geometry.

Unit cell a=3.5204 b=6.0147 c=11.4173 alpha=90.00 beta=90.00 gamma=107.02
Closest atoms and distances in Å follow each position.
Sites, in units of the cell vectors:
Th1 0.1034 0.2068 0.7500  6 C 2.61-2.79
Th2 0.8966 0.7932 0.2500  6 C 2.61-2.79
U1 0.3688 0.7375 0.5538  6 C 2.31-2.43
U2 0.6312 0.2625 0.0538  6 C 2.31-2.43
U3 0.6312 0.2625 0.4462  6 C 2.31-2.43
U4 0.3688 0.7375 0.9462  6 C 2.31-2.43
Co1 0.8424 0.6848 0.7500  4 C 1.93-2.06
Co2 0.1576 0.3152 0.2500  4 C 1.93-2.06
C1 0.2625 0.5250 0.1175  1 Co 1.93
C2 0.7375 0.4750 0.6175  1 Co 1.93
C3 0.7375 0.4750 0.8825  1 Co 1.93
C4 0.2625 0.5250 0.3825  1 Co 1.93
C5 0.0000 0.0000 0.5000  4 U 2.40
C6 0.0000 0.0000 0.0000  4 U 2.40
C7 0.4357 0.8714 0.7500  2 Co 2.06
C8 0.5643 0.1286 0.2500  2 Co 2.06

Calculated values
energy of formation	-165	meV/atom
total DFT energy (no corrections)	-9.4148	eV per atom
total moment	0.00	μB/atom
ρ	11.7	Mg/m³
DOS at the Fermi energy	0.714	states/eV per atom

=====

Record 4
VASP calculation (GGA-PBE) on crystalline Th2ZnCoC at its relaxed geometry.

Unit cell a=3.8877 b=6.8072 c=8.4932 alpha=115.77 beta=90.00 gamma=90.00
Closest atoms and distances in Å follow each position.
Sites, in units of the cell vectors:
Th1 0.7500 0.7715 0.5984  2 C 2.58, 1 Co 2.63
Th2 0.7500 0.7827 0.0207  3 C 2.43-2.72
Th3 0.2500 0.2285 0.4016  2 C 2.58, 1 Co 2.63
Th4 0.2500 0.2173 0.9793  3 C 2.43-2.72
Zn1 0.2500 0.7108 0.2851  2 Co 2.44
Zn2 0.7500 0.2892 0.7149  2 Co 2.44
Co1 0.2500 0.5144 0.7318  1 C 1.90
Co2 0.7500 0.4856 0.2682  1 C 1.90
C1 0.2500 0.8225 0.8131  1 Co 1.90
C2 0.7500 0.1775 0.1869  1 Co 1.90

Calculated values
energy of formation	-233	meV/atom
total DFT energy (no corrections)	-6.7215	eV per atom
total moment	0.00	μB/atom
ρ	9.9	Mg/m³
DOS at the Fermi energy	0.707	states/eV per atom

=====

Record 5
VASP calculation (GGA-PBE) on crystalline ThZnCoC at its relaxed geometry.

Unit cell a=3.8956 b=3.8956 c=8.6301 alpha=90.00 beta=90.00 gamma=90.00
Closest atoms and distances in Å follow each position.
Sites, in units of the cell vectors:
Th1 0.0000 0.5000 0.8391  1 C 2.44
Th2 0.5000 0.0000 0.1609  1 C 2.44
Zn1 0.0000 0.0000 0.5000  4 Co 2.44
Zn2 0.5000 0.5000 0.5000  4 Co 2.44
Co1 0.0000 0.5000 0.3293  1 C 1.79
Co2 0.5000 0.0000 0.6707  1 C 1.79
C1 0.5000 0.0000 0.8776  1 Co 1.79
C2 0.0000 0.5000 0.1224  1 Co 1.79

Calculated values
energy of formation	-178	meV/atom
total DFT energy (no corrections)	-6.4341	eV per atom
total moment	0.13	μB/atom
ρ	9.3	Mg/m³
DOS at the Fermi energy	0.981	states/eV per atom

=====

Record 6
VASP calculation (GGA-PBE) on crystalline Th2Zn2Co4C at its relaxed geometry.

Unit cell a=5.8839 b=5.8839 c=5.8839 alpha=90.85 beta=119.51 gamma=119.51
Closest atoms and distances in Å follow each position.
Sites, in units of the cell vectors:
Th1 0.0000 0.7068 0.7068  1 C 2.42
Th2 0.0000 0.2932 0.2932  1 C 2.42
Zn1 0.5000 0.7500 0.2500  8 Co 2.95, 4 Th 2.98
Zn2 0.5000 0.2500 0.7500  8 Co 2.95, 4 Th 2.98
Co1 0.0000 0.7687 0.2313  1 C 1.94
Co2 0.5373 0.7687 0.7687  1 C 1.94
Co3 0.0000 0.2313 0.7687  1 C 1.94
Co4 0.4627 0.2313 0.2313  1 C 1.94
C1 0.0000 0.0000 0.0000  4 Co 1.94

Calculated values
energy of formation	193	meV/atom
total DFT energy (no corrections)	-5.9223	eV per atom
total moment	0.20	μB/atom
ρ	9.6	Mg/m³
DOS at the Fermi energy	0.976	states/eV per atom

=====

Record 7
VASP calculation (GGA-PBE) on crystalline Ti4CoC at its relaxed geometry.

Unit cell a=6.2038 b=6.2038 c=6.2038 alpha=107.23 beta=107.23 gamma=114.06
Closest atoms and distances in Å follow each position.
Sites, in units of the cell vectors:
Ti1 0.2770 0.9741 0.6971  1 C 2.13, 1 Co 2.24
Ti2 0.7229 0.4316 0.7087  2 C 2.11-2.16
Ti3 0.7241 0.5270 0.1971  1 C 2.13, 1 Co 2.24
Ti4 0.1816 0.9729 0.2087  2 C 2.11-2.16
Ti5 0.3299 0.5270 0.8029  1 C 2.13, 1 Co 2.24
Ti6 0.7642 0.9729 0.7913  2 C 2.11-2.16
Ti7 0.7229 0.0142 0.2913  2 C 2.11-2.16
Ti8 0.2770 0.5799 0.3029  1 C 2.13, 1 Co 2.24
Co1 0.2413 0.2413 0.0000  6 Ti 2.24-2.41
Co2 0.9913 0.4913 0.5000  6 Ti 2.24-2.41
C1 0.7588 0.7588 0.0000  6 Ti 2.11-2.16
C2 0.5088 0.0088 0.5000  6 Ti 2.11-2.16

Calculated values
energy of formation	-162	meV/atom
total DFT energy (no corrections)	-8.1464	eV per atom
total moment	0.00	μB/atom
ρ	4.8	Mg/m³
DOS at the Fermi energy	0.976	states/eV per atom

=====

Record 8
VASP calculation (GGA-PBE) on crystalline Ti3CoC at its relaxed geometry.

Unit cell a=4.1170 b=4.1170 c=4.1170 alpha=90.00 beta=90.00 gamma=90.00
Closest atoms and distances in Å follow each position.
Sites, in units of the cell vectors:
C1 0.0000 0.0000 0.0000  6 Ti 2.06
Co1 0.5000 0.5000 0.5000  12 Ti 2.91
Ti1 0.0000 0.5000 0.0000  2 C 2.06
Ti2 0.0000 0.0000 0.5000  2 C 2.06
Ti3 0.5000 0.0000 0.0000  2 C 2.06

Calculated values
energy of formation	-290	meV/atom
offset from the most stable computed form	1.07	eV/f.u.
total DFT energy (no corrections)	-8.2933	eV per atom
total moment	0.25	μB/atom
ρ	5.1	Mg/m³
DOS at the Fermi energy	0.950	states/eV per atom

=====

Record 9
VASP calculation (GGA-PBE) on crystalline Ti3CoC at its relaxed geometry.

Unit cell a=3.0497 b=5.4533 c=8.2339 alpha=90.00 beta=90.00 gamma=106.24
Closest atoms and distances in Å follow each position.
Sites, in units of the cell vectors:
Ti1 0.0653 0.1305 0.7500  2 C 2.17
Ti2 0.9347 0.8695 0.2500  2 C 2.17
Ti3 0.3680 0.7360 0.5608  2 C 2.12
Ti4 0.6320 0.2640 0.4392  2 C 2.12
Ti5 0.6320 0.2640 0.0608  2 C 2.12
Ti6 0.3680 0.7360 0.9392  2 C 2.12
Co1 0.2502 0.5005 0.2500  6 Ti 2.46-2.51
Co2 0.7498 0.4995 0.7500  6 Ti 2.46-2.51
C1 0.0000 0.0000 0.5000  6 Ti 2.12-2.17
C2 0.0000 0.0000 0.0000  6 Ti 2.12-2.17

Calculated values
energy of formation	-504	meV/atom
offset from the most stable computed form	0.00	eV/f.u.
total DFT energy (no corrections)	-8.5071	eV per atom
total moment	0.00	μB/atom
ρ	5.4	Mg/m³
DOS at the Fermi energy	1.210	states/eV per atom

=====

Record 10
VASP calculation (GGA-PBE) on crystalline Ti3CoC at its relaxed geometry.

Unit cell a=4.3755 b=4.3755 c=4.3755 alpha=90.00 beta=90.00 gamma=90.00
Closest atoms and distances in Å follow each position.
Sites, in units of the cell vectors:
C1 0.5000 0.5000 0.5000  12 Ti 3.09
Co1 0.0000 0.0000 0.0000  6 Ti 2.19
Ti1 0.0000 0.5000 0.0000  2 Co 2.19
Ti2 0.0000 0.0000 0.5000  2 Co 2.19
Ti3 0.5000 0.0000 0.0000  2 Co 2.19

Calculated values
energy of formation	1171	meV/atom
offset from the most stable computed form	8.37	eV/f.u.
total DFT energy (no corrections)	-6.8323	eV per atom
total moment	0.00	μB/atom
ρ	4.3	Mg/m³
DOS at the Fermi energy	1.236	states/eV per atom

=====

> Among the records above, which one has the highest total DFT energy (no corrections)?

Th2Zn2Co4C